{"formula": "PrNdSm2Ho4", "functional": "GGA-PBE", "state": "optimized geometry", "delta_e_f_ev_per_fu": 3.3, "spacegroup": "No. 74", "lattice": [[-3.418, 5.941, 6.648], [3.418, -5.941, 6.648], [3.418, 5.941, -6.648]], "species": ["Pr", "Pr", "Nd", "Nd", "Sm", "Sm", "Sm", "Sm", "Ho", "Ho", "Ho", "Ho", "Ho", "Ho", "Ho", "Ho"], "frac_coords": [[0.500, 0.000, 0.000], [0.500, 0.500, 0.500], [0.000, 0.000, 0.000], [0.500, 0.000, 0.500], [0.000, 0.000, 0.500], [0.000, 0.500, 0.000], [0.000, 0.500, 0.500], [0.500, 0.500, 0.000], [0.248, 0.249, 0.500], [0.248, 0.250, 0.998], [0.248, 0.748, 0.000], [0.248, 0.750, 0.498], [0.752, 0.250, 0.502], [0.752, 0.252, 0.000], [0.752, 0.750, 0.002], [0.752, 0.751, 0.500]]}


{"formula": "PrNd3SmHo", "functional": "GGA-PBE", "state": "optimized geometry", "delta_e_f_ev_per_fu": 1.0, "spacegroup": "No. 12", "lattice": [[10.320, -2.929, 0.000], [10.320, 2.929, 0.000], [-0.095, 0.000, 6.895]], "species": ["Pr", "Pr", "Nd", "Nd", "Nd", "Nd", "Nd", "Nd", "Sm", "Sm", "Ho", "Ho"], "frac_coords": [[0.147, 0.147, 0.025], [0.853, 0.853, 0.975], [0.018, 0.018, 0.748], [0.281, 0.281, 0.738], [0.339, 0.339, 0.253], [0.661, 0.661, 0.747], [0.719, 0.719, 0.262], [0.982, 0.982, 0.252], [0.443, 0.443, 0.737], [0.557, 0.557, 0.263], [0.144, 0.144, 0.475], [0.856, 0.856, 0.525]]}


{"formula": "Pr6Nd2SmHo", "functional": "GGA-PBE", "state": "optimized geometry", "delta_e_f_ev_per_fu": 1.1, "spacegroup": "No. 15", "lattice": [[4.663, -7.746, 0.000], [4.663, 7.746, 0.000], [-1.497, 0.000, 9.837]], "species": ["Pr", "Pr", "Pr", "Pr", "Pr", "Pr", "Pr", "Pr", "Pr", "Pr", "Pr", "Pr", "Nd", "Nd", "Nd", "Nd", "Sm", "Sm", "Ho", "Ho"], "frac_coords": [[0.013, 0.571, 0.189], [0.119, 0.751, 0.554], [0.249, 0.881, 0.946], [0.295, 0.504, 0.381], [0.429, 0.987, 0.311], [0.496, 0.705, 0.119], [0.504, 0.295, 0.881], [0.571, 0.013, 0.689], [0.705, 0.496, 0.619], [0.751, 0.119, 0.054], [0.881, 0.249, 0.446], [0.987, 0.429, 0.811], [0.196, 0.294, 0.043], [0.294, 0.196, 0.543], [0.706, 0.804, 0.457], [0.804, 0.706, 0.957], [0.020, 0.980, 0.250], [0.980, 0.020, 0.750], [0.408, 0.592, 0.750], [0.592, 0.408, 0.250]]}


{"formula": "PrNdSmHo3", "functional": "GGA-PBE", "state": "optimized geometry", "delta_e_f_ev_per_fu": 1.1, "spacegroup": "No. 12", "lattice": [[10.011, -2.820, 0.000], [10.011, 2.820, 0.000], [-0.010, 0.000, 7.080]], "species": ["Pr", "Pr", "Nd", "Nd", "Sm", "Sm", "Ho", "Ho", "Ho", "Ho", "Ho", "Ho"], "frac_coords": [[0.147, 0.147, 0.035], [0.853, 0.853, 0.965], [0.445, 0.445, 0.745], [0.555, 0.555, 0.255], [0.149, 0.149, 0.461], [0.851, 0.851, 0.539], [0.023, 0.023, 0.746], [0.279, 0.279, 0.751], [0.335, 0.335, 0.256], [0.665, 0.665, 0.744], [0.721, 0.721, 0.249], [0.977, 0.977, 0.254]]}